# 1
PmSbS: relaxed, PBE-GGA.

Space-group type = I4/mmm
Crystal system = tetragonal

a = 9.373 Å, b = 9.373 Å, c = 9.373 Å
α = 154.56°, β = 154.56°, γ = 36.29°
Atoms (fractional coordinates):
Pm: 0.655 0.655 0.000
Sb: 0.000 0.500 0.500
Sb: 0.500 0.000 0.500
S: 0.186 0.186 0.000
Pm: 0.345 0.345 0.000
S: 0.814 0.814 0.000

---

# 2
Pm2Se2S: relaxed, PBE-GGA.

Space-group type = P4/nmm
Crystal system = tetragonal

a = 4.225 Å, b = 4.225 Å, c = 15.073 Å
α = 90.00°, β = 90.00°, γ = 90.00°
Atoms (fractional coordinates):
S: 0.000 0.000 0.500
Pm: 0.000 0.500 0.380
Se: 0.500 0.000 0.906
Pm: 0.500 0.000 0.112
Se: 0.000 0.500 0.094
S: 0.500 0.500 0.500
Pm: 0.500 0.000 0.620
Se: 0.000 0.500 0.702
Pm: 0.000 0.500 0.888
Se: 0.500 0.000 0.298

---

# 3
Pm5SeS4: relaxed, PBE-GGA.

Space-group type = R-3m
Crystal system = trigonal

a = 16.744 Å, b = 16.744 Å, c = 16.744 Å
α = 13.94°, β = 13.94°, γ = 13.94°
Atoms (fractional coordinates):
Pm: 0.797 0.797 0.797
S: 0.699 0.699 0.699
Pm: 0.000 0.000 0.000
Pm: 0.601 0.601 0.601
S: 0.902 0.902 0.902
S: 0.301 0.301 0.301
S: 0.098 0.098 0.098
Pm: 0.399 0.399 0.399
Se: 0.500 0.500 0.500
Pm: 0.203 0.203 0.203

---

# 4
PmSmSe2S: relaxed, PBE-GGA.

Space-group type = P3m1
Crystal system = trigonal

a = 4.587 Å, b = 4.587 Å, c = 7.492 Å
α = 90.00°, β = 90.00°, γ = 120.00°
Atoms (fractional coordinates):
Pm: 0.000 0.000 0.777
Se: 0.000 0.000 0.358
S: 0.667 0.333 0.001
Se: 0.333 0.667 0.640
Sm: 0.333 0.667 0.225

---

Number 1: energy -17.307 eV per formula unit. Number 2: energy -29.414 eV per formula unit. Number 3: energy -63.692 eV per formula unit. Number 4: energy -29.462 eV per formula unit.